--- 1 ---
# K5Cd

An optimized crystal structure of K5Cd (PBE, Alexandria via LeMat-Bulk).

a = 4.466 Å, b = 4.466 Å, c = 18.116 Å
α = 90.00°, β = 90.00°, γ = 90.00°
Fractional positions:
K: 0.500 0.500 0.694
K: 0.000 0.000 0.116
K: 0.000 0.000 0.500
K: 0.000 0.000 0.884
K: 0.500 0.500 0.306
Cd: 0.500 0.500 0.000

***

--- 2 ---
# K5Cd

An optimized crystal structure of K5Cd (PBE, Alexandria via LeMat-Bulk).

a = 9.675 Å, b = 9.675 Å, c = 6.305 Å
α = 90.00°, β = 90.00°, γ = 143.87°
Fractional positions:
K: 0.128 0.872 0.500
K: 0.472 0.528 0.500
K: 0.817 0.183 0.500
K: 0.621 0.379 0.000
K: 0.324 0.676 0.000
Cd: 0.972 0.028 0.000

***

--- 3 ---
# K5Cd

An optimized crystal structure of K5Cd (PBE, Alexandria via LeMat-Bulk).

a = 9.258 Å, b = 9.258 Å, c = 10.695 Å
α = 115.65°, β = 115.65°, γ = 90.00°
Fractional positions:
Cd: 0.250 0.250 0.500
Cd: 0.750 0.750 0.500
K: 0.019 0.519 0.706
K: 0.519 0.687 0.706
K: 0.481 0.313 0.294
K: 0.981 0.481 0.294
K: 0.000 0.000 0.000
K: 0.187 0.019 0.706
K: 0.813 0.981 0.294
K: 0.500 0.500 0.000
K: 0.313 0.813 0.294
K: 0.687 0.187 0.706

***

--- 4 ---
# K5Cd

An optimized crystal structure of K5Cd (PBE, Alexandria via LeMat-Bulk).

a = 7.603 Å, b = 7.603 Å, c = 6.965 Å
α = 90.00°, β = 90.00°, γ = 120.00°
Fractional positions:
K: 0.639 0.306 0.000
K: 0.667 0.667 0.500
K: 0.027 0.000 0.000
K: 0.333 0.694 0.000
K: 0.000 0.333 0.500
Cd: 0.333 0.000 0.500

***

Ordering by calculated energy gives the sequence 1, 3, 2, 4, with the first entry being the most stable.

***

--- 1 ---
# KLaCd2

An optimized crystal structure of KLaCd2 (PBE, Alexandria via LeMat-Bulk).

a = 6.963 Å, b = 6.963 Å, c = 6.963 Å
α = 149.52°, β = 130.62°, γ = 59.14°
Fractional positions:
Cd: 0.784 0.284 0.500
Cd: 0.979 0.979 0.000
K: 0.519 0.519 0.000
La: 0.218 0.718 0.500

***

--- 2 ---
# KLaCd2

An optimized crystal structure of KLaCd2 (PBE, Alexandria via LeMat-Bulk).

a = 3.942 Å, b = 3.984 Å, c = 9.552 Å
α = 65.35°, β = 90.00°, γ = 90.00°
Site moments in Bohr magnetons follow the coordinates.
Fractional positions:
K: 0.500 0.250 0.250  0.00
Cd: 0.000 0.036 0.964  0.01
Cd: 0.000 0.464 0.536  0.01
La: 0.500 0.750 0.750  0.16

***

--- 3 ---
# KLaCd2

An optimized crystal structure of KLaCd2 (PBE, Alexandria via LeMat-Bulk).

a = 8.930 Å, b = 8.930 Å, c = 7.322 Å
α = 52.42°, β = 52.42°, γ = 90.00°
Fractional positions:
K: 0.500 0.500 0.000
K: 0.250 0.750 0.500
Cd: 0.638 0.125 0.250
Cd: 0.875 0.888 0.750
Cd: 0.112 0.625 0.250
Cd: 0.375 0.362 0.750
La: 0.750 0.250 0.500
La: 0.000 0.000 0.000

***

Ordering by calculated energy gives the sequence 2, 1, 3, with the first entry being the most stable.

***

--- 1 ---
# KLaCd2

An optimized crystal structure of KLaCd2 (PBE, Alexandria via LeMat-Bulk).

a = 6.706 Å, b = 6.706 Å, c = 5.965 Å
α = 71.43°, β = 71.43°, γ = 30.28°
Fractional positions:
Cd: 0.716 0.716 0.735
Cd: 0.026 0.026 0.020
La: 0.281 0.281 0.193
K: 0.477 0.477 0.552

***

--- 2 ---
# KLaCd2

An optimized crystal structure of KLaCd2 (PBE, Alexandria via LeMat-Bulk).

a = 5.831 Å, b = 3.814 Å, c = 5.833 Å
α = 90.01°, β = 90.00°, γ = 90.00°
Fractional positions:
K: 0.000 0.625 0.378
Cd: 0.000 0.125 0.880
Cd: 0.500 0.125 0.370
La: 0.500 0.625 0.872

***

Ordering by calculated energy gives the sequence 2, 1, with the first entry being the most stable.

***

--- 1 ---
# KLaCd2

An optimized crystal structure of KLaCd2 (PBE, Alexandria via LeMat-Bulk).

a = 5.442 Å, b = 5.442 Å, c = 5.442 Å
α = 120.03°, β = 120.03°, γ = 89.94°
Fractional positions:
K: 0.500 0.500 0.000
La: 0.750 0.250 0.500
Cd: 0.000 0.000 0.000
Cd: 0.250 0.750 0.500

***

--- 2 ---
# KLaCd2

An optimized crystal structure of KLaCd2 (PBE, Alexandria via LeMat-Bulk).

a = 3.844 Å, b = 3.844 Å, c = 11.172 Å
α = 80.34°, β = 80.34°, γ = 59.62°
Fractional positions:
Cd: 0.994 0.994 0.017
Cd: 0.506 0.506 0.483
K: 0.750 0.750 0.750
La: 0.250 0.250 0.250

***

Ordering by calculated energy gives the sequence 2, 1, with the first entry being the most stable.

***

--- 1 ---
# KLaCd2

An optimized crystal structure of KLaCd2 (PBE, Alexandria via LeMat-Bulk).

a = 3.726 Å, b = 3.726 Å, c = 10.001 Å
α = 90.00°, β = 90.00°, γ = 90.00°
Fractional positions:
K: 0.000 0.000 0.450
Cd: 0.500 0.500 0.194
Cd: 0.000 0.000 0.032
La: 0.500 0.500 0.823

***

--- 2 ---
# KLaCd2

An optimized crystal structure of KLaCd2 (PBE, Alexandria via LeMat-Bulk).

a = 5.658 Å, b = 5.658 Å, c = 5.658 Å
α = 60.00°, β = 60.00°, γ = 60.00°
Fractional positions:
Cd: 0.250 0.250 0.250
Cd: 0.750 0.750 0.750
K: 0.000 0.000 0.000
La: 0.500 0.500 0.500

***

Ordering by calculated energy gives the sequence 2, 1, with the first entry being the most stable.

***

--- 1 ---
# KLaCd3

An optimized crystal structure of KLaCd3 (PBE, Alexandria via LeMat-Bulk).

a = 6.213 Å, b = 6.213 Å, c = 6.213 Å
α = 90.00°, β = 90.00°, γ = 90.00°
Fractional positions:
Cd: 0.500 0.000 0.000
Cd: 0.000 0.500 0.000
Cd: 0.000 0.000 0.500
K: 0.500 0.500 0.500
La: 0.000 0.000 0.000

***

--- 2 ---
# KLaCd3

An optimized crystal structure of KLaCd3 (PBE, Alexandria via LeMat-Bulk).

a = 5.613 Å, b = 5.613 Å, c = 5.613 Å
α = 90.00°, β = 90.00°, γ = 90.00°
Site moments in Bohr magnetons follow the coordinates.
Fractional positions:
K: 0.000 0.000 0.000  0.00
Cd: 0.500 0.000 0.000  0.00
Cd: 0.000 0.500 0.000  -0.01
Cd: 0.000 0.000 0.500  0.00
La: 0.500 0.500 0.500  -0.07

***

Ordering by calculated energy gives the sequence 1, 2, with the first entry being the most stable.

***

--- 1 ---
# KLa3Cd

An optimized crystal structure of KLa3Cd (PBE, Alexandria via LeMat-Bulk).

a = 6.169 Å, b = 6.169 Å, c = 6.169 Å
α = 90.00°, β = 90.00°, γ = 90.00°
Fractional positions:
La: 0.500 0.000 0.000
La: 0.000 0.500 0.000
La: 0.000 0.000 0.500
K: 0.500 0.500 0.500
Cd: 0.000 0.000 0.000

***

--- 2 ---
# KLa3Cd

An optimized crystal structure of KLa3Cd (PBE, Alexandria via LeMat-Bulk).

a = 5.675 Å, b = 5.675 Å, c = 5.675 Å
α = 90.00°, β = 90.00°, γ = 90.00°
Fractional positions:
Cd: 0.500 0.500 0.500
La: 0.000 0.000 0.500
La: 0.500 0.000 0.000
La: 0.000 0.500 0.000
K: 0.000 0.000 0.000

***

Ordering by calculated energy gives the sequence 1, 2, with the first entry being the most stable.

***

--- 1 ---
# KLi3Cd

An optimized crystal structure of KLi3Cd (PBE, Alexandria via LeMat-Bulk).

a = 5.414 Å, b = 5.414 Å, c = 5.414 Å
α = 90.00°, β = 90.00°, γ = 90.00°
Fractional positions:
K: 0.500 0.500 0.500
Li: 0.500 0.000 0.000
Li: 0.000 0.000 0.500
Li: 0.000 0.500 0.000
Cd: 0.000 0.000 0.000

***

--- 2 ---
# KLi3Cd

An optimized crystal structure of KLi3Cd (PBE, Alexandria via LeMat-Bulk).

a = 5.456 Å, b = 5.456 Å, c = 5.456 Å
α = 90.00°, β = 90.00°, γ = 90.00°
Fractional positions:
Li: 0.500 0.000 0.000
Li: 0.000 0.000 0.500
Li: 0.000 0.500 0.000
Cd: 0.500 0.500 0.500
K: 0.000 0.000 0.000

***

Ordering by calculated energy gives the sequence 1, 2, with the first entry being the most stable.